1.
LaFeP2Os | PBE | relaxed

Computed properties:
formation enthalpy at 0 K	-419	kJ/mol of formula units

Cell: 3.9485 3.9485 6.1488 Å, 108.73 108.73 90.00°
Last column: nearest neighbours and their distance in Å.
Element x y z (fractional)
La 0.0000 0.0000 0.0000  8 P 3.21, 4 Fe 3.38, 4 Os 3.38
Fe 0.7500 0.2500 0.5000  4 P 2.29
Os 0.2500 0.7500 0.5000  4 P 2.29
P 0.6445 0.6445 0.2890  2 Fe 2.29, 2 Os 2.29
P 0.3555 0.3555 0.7110  2 Fe 2.29, 2 Os 2.29

2.
Ba4YRh | PBE | relaxed

Computed properties:
formation enthalpy at 0 K	487	kJ/mol of formula units

Cell: 7.1194 7.1194 7.1194 Å, 60.00 60.00 60.00°
Last column: nearest neighbours and their distance in Å.
Element x y z (fractional)
Ba 0.3759 0.3759 0.3759  6 Ba 3.53-3.59
Ba 0.3759 0.8722 0.3759  6 Ba 3.53-3.59
Y 0.0000 0.0000 0.0000  12 Ba 4.18, 4 Rh 4.36
Rh 0.7500 0.7500 0.7500  12 Ba 4.17, 4 Y 4.36
Ba 0.3759 0.3759 0.8722  6 Ba 3.53-3.59
Ba 0.8722 0.3759 0.3759  6 Ba 3.53-3.59

3.
PaGaCuH | PBE | relaxed

Computed properties:
electronic total energy	-21.2	eV/cell

Cell: 4.2013 4.2008 3.8634 Å, 89.98 90.00 120.01°
Last column: nearest neighbours and their distance in Å.
Element x y z (fractional)
Cu 0.2385 0.4770 0.8146  2 H 1.90-1.96
Pa 0.5719 0.1439 0.3105  3 H 2.42-2.43
Ga 0.9052 0.8104 0.8065  3 Cu 2.43
H 0.2387 0.4774 0.3075  2 Cu 1.90-1.96

4.
KFeBiPd2 | PBE | relaxed

Computed properties:
formation enthalpy at 0 K	337	kJ/mol of formula units

Cell: 4.8195 5.2113 4.8195 Å, 90.00 90.00 90.00°
Last column: nearest neighbours and their distance in Å.
Element x y z (fractional)
Pd 0.0000 0.0000 0.5000  2 Fe 2.41
Fe 0.0000 0.0000 0.0000  4 Pd 2.41, 2 K 2.61
Bi 0.5000 0.5000 0.5000  4 K 3.41, 8 Pd 3.55
Pd 0.5000 0.0000 0.0000  2 Fe 2.41
K 0.0000 0.5000 0.0000  2 Fe 2.61

Record-wise spin magnetization values, in μB per atom: 0.0004, 0.4473, 0.0000, 0.7922